The following is a PBE calculation of an optimized crystal structure of CdRu2, from the Alexandria database.

Values from the calculation:
N(E_F), states/eV/cell: 3.08
Total magnetic moment, μB/cell: 0.00
Symmetry: No. 71
Total energy, eV per atom: -6.182

abc: 5.3046 5.3046 5.3046
angles: 149.04 140.30 51.18
Sites, in units of the cell vectors:
Cd  0.0000  0.0000  0.0000
Ru  0.3108  0.3108  0.0000
Ru  0.6892  0.6892  0.0000


The following is a PBE calculation of an optimized crystal structure of CdRu8, from the Alexandria database.

Values from the calculation:
N(E_F), states/eV/cell: 7.43
Total magnetic moment, μB/cell: 0.00
Symmetry: No. 139
Total energy, eV per atom: -8.166

abc: 6.1423 6.1423 6.1423
angles: 95.66 95.66 143.39
Sites, in units of the cell vectors:
Ru  0.3236  0.3236  0.6472
Ru  0.6764  0.6764  0.3528
Ru  0.3236  0.6764  0.0000
Ru  0.0000  0.6564  0.6564
Cd  0.0000  0.0000  0.0000
Ru  0.3436  0.0000  0.3436
Ru  0.6764  0.3236  0.0000
Ru  0.6564  0.0000  0.6564
Ru  0.0000  0.3436  0.3436


The following is a PBE calculation of an optimized crystal structure of CdRu3, from the Alexandria database.

Values from the calculation:
N(E_F), states/eV/cell: 1.90
Total magnetic moment, μB/cell: 1.95
Symmetry: No. 225
Total energy, eV per atom: -6.619

abc: 4.4477 4.4477 4.4477
angles: 60.00 60.00 60.00
Last column: magnetic moment on the atom in μB.
Sites, in units of the cell vectors:
Ru  0.7500  0.7500  0.7500  0.27
Ru  0.2500  0.2500  0.2500  0.27
Ru  0.5000  0.5000  0.5000  1.34
Cd  0.0000  0.0000  0.0000  0.02


The following is a PBE calculation of an optimized crystal structure of CdRu3, from the Alexandria database.

Values from the calculation:
N(E_F), states/eV/cell: 13.15
Total magnetic moment, μB/cell: 2.18
Symmetry: No. 139
Total energy, eV per atom: -6.680

abc: 8.5431 8.5431 8.5431
angles: 153.66 153.66 37.59
Last column: magnetic moment on the atom in μB.
Sites, in units of the cell vectors:
Ru  0.2500  0.7500  0.5000  0.07
Cd  0.3764  0.3764  0.0000  0.00
Ru  0.1285  0.1285  0.0000  0.41
Cd  0.6236  0.6236  0.0000  0.00
Ru  0.5000  0.0000  0.5000  0.59
Ru  0.8715  0.8715  0.0000  0.41
Ru  0.7500  0.2500  0.5000  0.07
Ru  0.0000  0.5000  0.5000  0.59


The following is a PBE calculation of an optimized crystal structure of CdRuS2, from the Alexandria database.

Values from the calculation:
Uncorrected formation energy, eV per atom: -0.22
N(E_F), states/eV/cell: 0.75
Total magnetic moment, μB/cell: 0.00
Symmetry: No. 166
Total energy, eV per atom: -4.832

abc: 7.7119 7.7119 7.7119
angles: 26.89 26.89 26.89
Sites, in units of the cell vectors:
S  0.1139  0.1139  0.1139
S  0.8861  0.8861  0.8861
Cd  0.0000  0.0000  0.0000
Ru  0.5000  0.5000  0.5000


The following is a PBE calculation of an optimized crystal structure of CdRu2S, from the Alexandria database.

Values from the calculation:
Uncorrected formation energy, eV per atom: 0.24
N(E_F), states/eV/cell: 3.86
Total magnetic moment, μB/cell: 0.00
Symmetry: No. 122
Total energy, eV per atom: -5.659

abc: 6.8690 6.8690 5.6315
angles: 52.42 52.42 90.00
Sites, in units of the cell vectors:
Cd  0.7500  0.2500  0.5000
Ru  0.2084  0.6250  0.2500
Ru  0.3750  0.4584  0.7500
Cd  0.0000  0.0000  0.0000
Ru  0.8750  0.7916  0.7500
S  0.5000  0.5000  0.0000
Ru  0.5416  0.1250  0.2500
S  0.2500  0.7500  0.5000


The following is a PBE calculation of an optimized crystal structure of CdRu2S, from the Alexandria database.

Values from the calculation:
Uncorrected formation energy, eV per atom: 0.60
N(E_F), states/eV/cell: 2.32
Total magnetic moment, μB/cell: 0.00
Symmetry: No. 225
Total energy, eV per atom: -5.301

abc: 4.4086 4.4086 4.4086
angles: 60.00 60.00 60.00
Sites, in units of the cell vectors:
Cd  0.5000  0.5000  0.5000
Ru  0.2500  0.2500  0.2500
Ru  0.7500  0.7500  0.7500
S  0.0000  0.0000  0.0000


The following is a PBE calculation of an optimized crystal structure of CdRuS3, from the Alexandria database.

Values from the calculation:
Uncorrected formation energy, eV per atom: 0.30
N(E_F), states/eV/cell: 8.03
Total magnetic moment, μB/cell: 0.00
Symmetry: No. 221
Total energy, eV per atom: -4.215

abc: 4.6576 4.6576 4.6576
angles: 90.00 90.00 90.00
Sites, in units of the cell vectors:
S  0.0000  0.0000  0.5000
S  0.5000  0.0000  0.0000
S  0.0000  0.5000  0.0000
Ru  0.0000  0.0000  0.0000
Cd  0.5000  0.5000  0.5000


The following is a PBE calculation of an optimized crystal structure of TiCdRuS2, from the Alexandria database.

Values from the calculation:
Uncorrected formation energy, eV per atom: 0.21
N(E_F), states/eV/cell: 4.56
Total magnetic moment, μB/cell: 0.84
Symmetry: No. 123
Total energy, eV per atom: -5.061

abc: 4.6862 4.6533 4.6862
angles: 90.00 90.00 90.00
Last column: magnetic moment on the atom in μB.
Sites, in units of the cell vectors:
Cd  0.5000  0.5000  0.5000  -0.02
Ti  0.0000  0.0000  0.0000  -0.15
S  0.5000  0.0000  0.0000  0.05
Ru  0.0000  0.5000  0.0000  0.86
S  0.0000  0.0000  0.5000  0.04


The following is a PBE calculation of an optimized crystal structure of CdRuWS2, from the Alexandria database.

Values from the calculation:
Uncorrected formation energy, eV per atom: 2.22
N(E_F), states/eV/cell: 10.14
Total magnetic moment, μB/cell: 0.00
Symmetry: No. 123
Total energy, eV per atom: -4.059

abc: 4.6137 4.9952 4.6137
angles: 90.00 90.00 90.00
Sites, in units of the cell vectors:
S  0.5000  0.0000  0.0000
W  0.5000  0.5000  0.5000
Ru  0.0000  0.5000  0.0000
S  0.0000  0.0000  0.5000
Cd  0.0000  0.0000  0.0000


The following is a PBE calculation of an optimized crystal structure of Cd2SbRu, from the Alexandria database.

Values from the calculation:
Uncorrected formation energy, eV per atom: 0.43
N(E_F), states/eV/cell: 4.75
Total magnetic moment, μB/cell: 0.94
Symmetry: No. 166
Total energy, eV per atom: -3.378

abc: 9.6034 9.6034 9.6034
angles: 19.36 19.36 19.36
Last column: magnetic moment on the atom in μB.
Sites, in units of the cell vectors:
Ru  0.7500  0.7500  0.7500  0.87
Cd  0.0087  0.0087  0.0087  0.00
Cd  0.4913  0.4913  0.4913  0.00
Sb  0.2500  0.2500  0.2500  0.02


The following is a PBE calculation of an optimized crystal structure of CdSb2Ru2, from the Alexandria database.

Values from the calculation:
Uncorrected formation energy, eV per atom: 0.06
N(E_F), states/eV/cell: 7.91
Total magnetic moment, μB/cell: 0.00
Symmetry: No. 127
Total energy, eV per atom: -5.481

abc: 7.6417 7.6417 3.2402
angles: 90.00 90.00 90.00
Sites, in units of the cell vectors:
Ru  0.3575  0.8575  0.0000
Sb  0.3486  0.1514  0.5000
Sb  0.6514  0.8486  0.5000
Cd  0.0000  0.0000  0.0000
Cd  0.5000  0.5000  0.0000
Ru  0.6425  0.1425  0.0000
Sb  0.1514  0.6514  0.5000
Ru  0.8575  0.6425  0.0000
Ru  0.1425  0.3575  0.0000
Sb  0.8486  0.3486  0.5000